Record 1
Mo2OsW: optimized geometry, GGA-PBE.

The structure belongs to space group I-4m2 (No. 119); the cell edges are 3.9556, 3.9556 and 8.0006 Å and the angles 90.00°, 90.00° and 90.00°. The inequivalent atoms are Mo at (0.0000, 0.0000, 0.0000), Mo at (0.0000, 0.5000, 0.2500), Os at (0.0000, 0.5000, 0.7500) and W at (0.0000, 0.0000, 0.5000).

Its energy relative to the elements is 227.8 meV/atom. The density of states at the Fermi level comes out at 4.1 states/eV/f.u. As for the calculated total energy: -0.82565 Ry per atom. As for the excess energy over the best structure of this formula in the dataset: 107 meV per atom. The total moment is 0.0 Bohr magnetons per cell.

=====

Record 2
Mo5OsW6: optimized geometry, GGA-PBE.

The structure belongs to space group Immm (No. 71); the cell edges are 4.4790, 6.3426 and 13.4089 Å and the angles 90.00°, 90.00° and 90.00°. The inequivalent atoms are Mo at (0.0000, 0.0000, 0.0000), Mo at (0.0000, 0.0000, 0.3361), Mo at (0.0000, 0.5000, 0.3325), Os at (0.0000, 0.5000, 0.0000), W at (0.0000, 0.2482, 0.1675) and W at (0.0000, 0.2534, 0.5000).

Its energy relative to the elements is 27.4 meV/atom. The density of states at the Fermi level comes out at 8.9 states/eV/f.u. As for the calculated total energy: -0.87449 Ry per atom. The total moment is 0.0 Bohr magnetons per cell.

=====

Record 3
Y2MoOs: optimized geometry, GGA-PBE.

The structure belongs to space group Imm2 (No. 44); the cell edges are 3.3674, 4.9872 and 10.3003 Å and the angles 90.00°, 90.00° and 90.00°. The inequivalent atoms are Y at (0.0000, 0.0000, 0.0000), Y at (0.0000, 0.5000, 0.2164), Mo at (0.0000, 0.5000, 0.7772) and Os at (0.0000, 0.0000, 0.4619).

Its energy relative to the elements is 101.0 meV/atom. The density of states at the Fermi level comes out at 4.7 states/eV/f.u. As for the calculated total energy: -0.63549 Ry per atom. As for the excess energy over the best structure of this formula in the dataset: 57 meV per atom. The total moment is 0.0 Bohr magnetons per cell.

=====

Record 4
Y2MoOs: optimized geometry, GGA-PBE.

The structure belongs to space group P2/m (No. 10); the cell edges are 3.0955, 4.5971 and 5.7864 Å and the angles 90.00°, 100.17° and 90.00°. The inequivalent atoms are Y at (0.2343, 0.0000, 0.2552), Mo at (0.5000, 0.5000, 0.0000) and Os at (0.0000, 0.5000, 0.5000).

Its energy relative to the elements is 427.7 meV/atom. The density of states at the Fermi level comes out at 3.8 states/eV/f.u. As for the calculated total energy: -0.61147 Ry per atom. As for the excess energy over the best structure of this formula in the dataset: 384 meV per atom. The total moment is 0.0 Bohr magnetons per cell.

=====

Record 5
Y2MoOs: optimized geometry, GGA-PBE.

The structure belongs to space group Immm (No. 71); the cell edges are 3.4246, 5.0238 and 9.4183 Å and the angles 90.00°, 90.00° and 90.00°. The inequivalent atoms are Y at (0.0000, 0.0000, 0.2390), Mo at (0.0000, 0.5000, 0.0000) and Os at (0.0000, 0.5000, 0.5000).

Its energy relative to the elements is 424.6 meV/atom. The density of states at the Fermi level comes out at 4.2 states/eV/f.u. As for the calculated total energy: -0.61170 Ry per atom. As for the excess energy over the best structure of this formula in the dataset: 381 meV per atom. The total moment is 0.7 Bohr magnetons per cell.

=====

Record 6
YMoOs3: optimized geometry, GGA-PBE.

The structure belongs to space group Pm-3m (No. 221); the cell edges are 4.7200, 4.7200 and 4.7200 Å and the angles 90.00°, 90.00° and 90.00°. The inequivalent atoms are Y at (0.0000, 0.0000, 0.0000), Mo at (0.5000, 0.5000, 0.5000) and Os at (0.0000, 0.5000, 0.5000).

Its energy relative to the elements is 1225.7 meV/atom. The density of states at the Fermi level comes out at 3.6 states/eV/f.u. As for the calculated total energy: -0.65937 Ry per atom. As for the excess energy over the best structure of this formula in the dataset: 0 meV per atom. The total moment is 0.0 Bohr magnetons per cell.

=====

Record 7
Y2MoOs: optimized geometry, GGA-PBE.

The structure belongs to space group C2/m (No. 12); the cell edges are 6.0743, 9.1611 and 3.1065 Å and the angles 90.00°, 110.81° and 90.00°. The inequivalent atoms are Y at (0.2500, 0.2500, 0.0000), Mo at (0.0000, 0.0000, 0.5000) and Os at (0.0000, 0.5000, 0.5000).

Its energy relative to the elements is 436.2 meV/atom. The density of states at the Fermi level comes out at 4.3 states/eV/f.u. As for the calculated total energy: -0.61085 Ry per atom. As for the excess energy over the best structure of this formula in the dataset: 392 meV per atom. The total moment is 0.0 Bohr magnetons per cell.

=====

Record 8
Y2MoOs: optimized geometry, GGA-PBE.

The structure belongs to space group Pm (No. 6); the cell edges are 3.3327, 4.2463 and 6.6551 Å and the angles 90.00°, 103.74° and 90.00°. The inequivalent atoms are Y at (0.0000, 0.0000, 0.0000), Y at (0.3489, 0.5000, 0.6357), Mo at (0.5501, 0.5000, 0.2334) and Os at (0.7990, 0.0000, 0.4052).

Its energy relative to the elements is 201.8 meV/atom. The density of states at the Fermi level comes out at 1.7 states/eV/f.u. As for the calculated total energy: -0.62808 Ry per atom. As for the excess energy over the best structure of this formula in the dataset: 158 meV per atom. The total moment is 0.0 Bohr magnetons per cell.

=====

Record 9
Y3MoOs: optimized geometry, GGA-PBE.

The structure belongs to space group Pm-3m (No. 221); the cell edges are 5.3362, 5.3362 and 5.3362 Å and the angles 90.00°, 90.00° and 90.00°. The inequivalent atoms are Y at (0.0000, 0.0000, 0.5000), Mo at (0.5000, 0.5000, 0.5000) and Os at (0.0000, 0.0000, 0.0000).

Its energy relative to the elements is 648.2 meV/atom. The density of states at the Fermi level comes out at 3.5 states/eV/f.u. As for the calculated total energy: -0.56171 Ry per atom. As for the excess energy over the best structure of this formula in the dataset: 0 meV per atom. The total moment is 3.9 Bohr magnetons per cell.

=====

Record 10
YMo4Os: optimized geometry, GGA-PBE.

The structure belongs to space group F-43m (No. 216); the cell edges are 7.5118, 7.5118 and 7.5118 Å and the angles 90.00°, 90.00° and 90.00°. The inequivalent atoms are Y at (0.0000, 0.0000, 0.0000), Mo at (0.1257, 0.1257, 0.6257) and Os at (0.2500, 0.2500, 0.2500).

Its energy relative to the elements is 319.3 meV/atom. The density of states at the Fermi level comes out at 8.3 states/eV/f.u. As for the calculated total energy: -0.72399 Ry per atom. The total moment is 0.0 Bohr magnetons per cell.

=====

Record 11
Y2MoOs: optimized geometry, GGA-PBE.

The structure belongs to space group C2/m (No. 12); the cell edges are 9.0788, 3.1600 and 5.8709 Å and the angles 90.00°, 97.80° and 90.00°. The inequivalent atoms are Y at (0.2426, 0.0000, 0.2423), Mo at (0.0000, 0.0000, 0.5000) and Os at (0.0000, 0.5000, 0.0000).

Its energy relative to the elements is 553.2 meV/atom. The density of states at the Fermi level comes out at 5.5 states/eV/f.u. As for the calculated total energy: -0.60225 Ry per atom. As for the excess energy over the best structure of this formula in the dataset: 509 meV per atom. The total moment is 0.0 Bohr magnetons per cell.

=====

Record 12
Y2MoOs: optimized geometry, GGA-PBE.

The structure belongs to space group I-42d (No. 122); the cell edges are 7.8683, 7.8683 and 5.7332 Å and the angles 90.00°, 90.00° and 90.00°. The inequivalent atoms are Y at (0.2223, 0.7500, 0.1250), Mo at (0.0000, 0.0000, 0.5000) and Os at (0.0000, 0.0000, 0.0000).

Its energy relative to the elements is 773.9 meV/atom. The density of states at the Fermi level comes out at 4.6 states/eV/f.u. As for the calculated total energy: -0.58603 Ry per atom. As for the excess energy over the best structure of this formula in the dataset: 730 meV per atom. The total moment is 0.0 Bohr magnetons per cell.

=====

Record 13
YMo2Os2: optimized geometry, GGA-PBE.

The structure belongs to space group I4/mmm (No. 139); the cell edges are 4.3327, 4.3327 and 10.3985 Å and the angles 90.00°, 90.00° and 90.00°. The inequivalent atoms are Y at (0.0000, 0.0000, 0.0000), Mo at (0.0000, 0.5000, 0.2500) and Os at (0.0000, 0.0000, 0.3770).

Its energy relative to the elements is -71.5 meV/atom. The density of states at the Fermi level comes out at 4.8 states/eV/f.u. As for the calculated total energy: -0.74886 Ry per atom. As for the excess energy over the best structure of this formula in the dataset: 0 meV per atom. The total moment is 0.0 Bohr magnetons per cell.

=====

Record 14
Y2MoOs: optimized geometry, GGA-PBE.

The structure belongs to space group P4mm (No. 99); the cell edges are 3.1786, 3.1786 and 8.9062 Å and the angles 90.00°, 90.00° and 90.00°. The inequivalent atoms are Y at (0.0000, 0.0000, 0.0000), Y at (0.5000, 0.5000, 0.3728), Mo at (0.0000, 0.0000, 0.6156) and Os at (0.5000, 0.5000, 0.7714).

Its energy relative to the elements is 43.7 meV/atom. The density of states at the Fermi level comes out at 3.5 states/eV/f.u. As for the calculated total energy: -0.63970 Ry per atom. As for the excess energy over the best structure of this formula in the dataset: 0 meV per atom. The total moment is 0.0 Bohr magnetons per cell.

=====

Record 15
Y2MoOs: optimized geometry, GGA-PBE.

The structure belongs to space group R3m (No. 160, hexagonal axes); the cell edges are 4.2197, 4.2197 and 20.6593 Å and the angles 90.00°, 90.00° and 120.00°. The inequivalent atoms are Y at (0.0000, 0.0000, 0.0000), Y at (0.0000, 0.0000, 0.1860), Mo at (0.0000, 0.0000, 0.4382) and Os at (0.0000, 0.0000, 0.7479).

Its energy relative to the elements is 93.0 meV/atom. The density of states at the Fermi level comes out at 2.9 states/eV/f.u. As for the calculated total energy: -0.63608 Ry per atom. As for the excess energy over the best structure of this formula in the dataset: 49 meV per atom. The total moment is 0.0 Bohr magnetons per cell.

=====

Record 16
YMo3Os: optimized geometry, GGA-PBE.

The structure belongs to space group Pm-3m (No. 221); the cell edges are 4.8065, 4.8065 and 4.8065 Å and the angles 90.00°, 90.00° and 90.00°. The inequivalent atoms are Y at (0.0000, 0.0000, 0.0000), Mo at (0.0000, 0.5000, 0.5000) and Os at (0.5000, 0.5000, 0.5000).

Its energy relative to the elements is 1071.6 meV/atom. The density of states at the Fermi level comes out at 6.4 states/eV/f.u. As for the calculated total energy: -0.65898 Ry per atom. As for the excess energy over the best structure of this formula in the dataset: 0 meV per atom. The total moment is 1.6 Bohr magnetons per cell.

=====

Record 17
YMoOs4: optimized geometry, GGA-PBE.

The structure belongs to space group F-43m (No. 216); the cell edges are 7.3984, 7.3984 and 7.3984 Å and the angles 90.00°, 90.00° and 90.00°. The inequivalent atoms are Y at (0.0000, 0.0000, 0.0000), Mo at (0.2500, 0.2500, 0.2500) and Os at (0.1253, 0.1253, 0.6253).

Its energy relative to the elements is 155.2 meV/atom. The density of states at the Fermi level comes out at 7.1 states/eV/f.u. As for the calculated total energy: -0.75070 Ry per atom. The total moment is 0.0 Bohr magnetons per cell.

=====

Record 18
YMo2Os2: optimized geometry, GGA-PBE.

The structure belongs to space group P4/mbm (No. 127); the cell edges are 7.7816, 7.7816 and 2.8732 Å and the angles 90.00°, 90.00° and 90.00°. The inequivalent atoms are Y at (0.0000, 0.0000, 0.0000), Mo at (0.1504, 0.3496, 0.0000) and Os at (0.1404, 0.6404, 0.5000).

Its energy relative to the elements is 138.1 meV/atom. The density of states at the Fermi level comes out at 4.4 states/eV/f.u. As for the calculated total energy: -0.73345 Ry per atom. As for the excess energy over the best structure of this formula in the dataset: 210 meV per atom. The total moment is 0.0 Bohr magnetons per cell.

=====

Record 19
Y4MoOs: optimized geometry, GGA-PBE.

The structure belongs to space group F-43m (No. 216); the cell edges are 8.2910, 8.2910 and 8.2910 Å and the angles 90.00°, 90.00° and 90.00°. The inequivalent atoms are Y at (0.1253, 0.1253, 0.1253), Mo at (0.2500, 0.2500, 0.7500) and Os at (0.0000, 0.0000, 0.5000).

Its energy relative to the elements is 1188.7 meV/atom. The density of states at the Fermi level comes out at 9.5 states/eV/f.u. As for the calculated total energy: -0.49961 Ry per atom. The total moment is 2.0 Bohr magnetons per cell.

=====

Record 20
Y2MoOs: optimized geometry, GGA-PBE.

The structure belongs to space group R-3m (No. 166, hexagonal axes); the cell edges are 3.2403, 3.2403 and 27.7601 Å and the angles 90.00°, 90.00° and 120.00°. The inequivalent atoms are Y at (0.0000, 0.0000, 0.2455), Mo at (0.0000, 0.0000, 0.0000) and Os at (0.0000, 0.0000, 0.5000).

Its energy relative to the elements is 569.9 meV/atom. The density of states at the Fermi level comes out at 6.1 states/eV/f.u. As for the calculated total energy: -0.60102 Ry per atom. As for the excess energy over the best structure of this formula in the dataset: 526 meV per atom. The total moment is 0.6 Bohr magnetons per cell.